Record 1
A plane-wave DFT calculation with PBEsol was carried out for an optimized crystal structure of Sr4CaPr2Cu4HgO14.

Calculated values
D(E_F)	10.11	states/eV per cell
formation energy from raw total energies	-1971	meV per atom
calculated density	6.48	g cm⁻³
symmetry	No. 119
uncorrected energy	-6.250	eV per atom

Unit cell a=5.3136 b=5.3136 c=12.8210 alpha=101.96 beta=101.96 gamma=90.00
Positions (direct):
1 Sr 0.3950 0.8950 0.7900
2 Sr 0.8930 0.3930 0.7859
3 Sr 0.1050 0.6050 0.2100
4 Sr 0.6070 0.1070 0.2141
5 Ca 0.7500 0.2500 0.5000
6 Pr 0.2500 0.7500 0.5000
7 Pr 0.0000 0.0000 0.0000
8 Cu 0.8238 0.8238 0.6475
9 Cu 0.3215 0.3215 0.6430
10 Cu 0.6785 0.6785 0.3570
11 Cu 0.1762 0.1762 0.3525
12 Hg 0.5000 0.5000 0.0000
13 O 0.5636 0.0660 0.6280
14 O 0.0644 0.5619 0.6280
15 O 0.4381 0.9356 0.3720
16 O 0.9340 0.4364 0.3720
17 O 0.0644 0.0660 0.6280
18 O 0.5636 0.5619 0.6280
19 O 0.9340 0.9356 0.3720
20 O 0.4381 0.4364 0.3720
21 O 0.9999 0.4999 0.9998
22 O 0.5001 0.0001 0.0002
23 O 0.9084 0.9084 0.8168
24 O 0.4134 0.4134 0.8269
25 O 0.5866 0.5866 0.1731
26 O 0.0916 0.0916 0.1832


Record 2
A plane-wave DFT calculation with PBEsol was carried out for an optimized crystal structure of Tl2AsPt.

Calculated values
D(E_F)	1.76	states/eV per cell
formation energy	-0.2	eV per formula unit
calculated density	12.42	g cm⁻³
symmetry	No. 99
uncorrected energy	-4.390	eV per atom

Unit cell a=3.3360 b=3.3360 c=8.1560 alpha=90.00 beta=90.00 gamma=90.00
Positions (direct):
1 Tl 0.0000 0.0000 0.9565
2 Tl 0.5000 0.5000 0.2838
3 As 0.0000 0.0000 0.5710
4 Pt 0.5000 0.5000 0.6887


Record 3
A plane-wave DFT calculation with PBEsol was carried out for an optimized crystal structure of PRu4Br.

Calculated values
D(E_F)	11.12	states/eV per cell
formation energy from raw total energies	1198	meV per atom
calculated density	9.20	g cm⁻³
symmetry	No. 216
uncorrected energy	-6.861	eV per atom

Unit cell a=5.0857 b=5.0857 c=5.0857 alpha=60.00 beta=60.00 gamma=60.00
Positions (direct):
1 Br 0.7500 0.7500 0.7500
2 P 0.0000 0.0000 0.0000
3 Ru 0.3744 0.3744 0.3744
4 Ru 0.3744 0.3744 0.8769
5 Ru 0.8769 0.3744 0.3744
6 Ru 0.3744 0.8769 0.3744


Record 4
A plane-wave DFT calculation with PBEsol was carried out for an optimized crystal structure of Hf2Ag3F14.

Calculated values
D(E_F)	1.86	states/eV per cell
formation energy from raw total energies	-2531	meV per atom
calculated density	5.59	g cm⁻³
symmetry	No. 12
uncorrected energy	-5.580	eV per atom

Unit cell a=5.7270 b=5.7270 c=9.0605 alpha=88.72 beta=88.72 gamma=71.33
Positions (direct):
1 Hf 0.4109 0.4109 0.2168
2 Hf 0.5891 0.5891 0.7832
3 Ag 0.0000 0.0000 0.0000
4 Ag 0.1866 0.1866 0.6038
5 Ag 0.8134 0.8134 0.3962
6 F 0.2633 0.8558 0.8359
7 F 0.1442 0.7367 0.1641
8 F 0.7367 0.1442 0.1641
9 F 0.8558 0.2633 0.8359
10 F 0.4913 0.8465 0.6117
11 F 0.5000 0.5000 0.0000
12 F 0.0000 0.0000 0.5000
13 F 0.3870 0.3870 0.7080
14 F 0.6130 0.6130 0.2920
15 F 0.7727 0.7727 0.8772
16 F 0.2273 0.2273 0.1228
17 F 0.8465 0.4913 0.6117
18 F 0.5087 0.1535 0.3883
19 F 0.1535 0.5087 0.3883


Record 5
A plane-wave DFT calculation with PBEsol was carried out for an optimized crystal structure of CoSiNi.

Calculated values
D(E_F)	10.75	states/eV per cell
formation energy from raw total energies	-497	meV per atom
calculated density	7.74	g cm⁻³
symmetry	No. 62
uncorrected energy	-7.044	eV per atom

Unit cell a=2.5503 b=6.0288 c=8.1356 alpha=90.00 beta=90.00 gamma=90.00
Positions (direct):
1 Co 0.7500 0.4211 0.8873
2 Co 0.2500 0.0789 0.3873
3 Co 0.2500 0.5789 0.1127
4 Co 0.7500 0.9211 0.6127
5 Ni 0.7500 0.3401 0.5792
6 Ni 0.2500 0.1599 0.0792
7 Ni 0.2500 0.6599 0.4208
8 Ni 0.7500 0.8401 0.9208
9 Si 0.7500 0.3687 0.2879
10 Si 0.2500 0.1313 0.7879
11 Si 0.2500 0.6313 0.7121
12 Si 0.7500 0.8687 0.2121


Record 6
A plane-wave DFT calculation with PBEsol was carried out for an optimized crystal structure of SiOs2Cl.

Calculated values
D(E_F)	2.79	states/eV per cell
formation energy from raw total energies	714	meV per atom
calculated density	13.73	g cm⁻³
symmetry	No. 225
uncorrected energy	-7.333	eV per atom

Unit cell a=4.2343 b=4.2343 c=4.2343 alpha=60.00 beta=60.00 gamma=60.00
Positions (direct):
1 Cl 0.5000 0.5000 0.5000
2 Os 0.2500 0.2500 0.2500
3 Os 0.7500 0.7500 0.7500
4 Si 0.0000 0.0000 0.0000


> calculated density of number 1 (Sr4CaPr2Cu4HgO14)?

6.48 g cm⁻³


> Look up the uncorrected energy of the third one.

-6.861 eV per atom